No. 1
A plane-wave DFT calculation with GGA-PBE was carried out for a relaxed Cs4GeF6 crystal.

a b c (Å): 7.702 7.833 14.027
angles (deg): 81.39 74.07 60.55
Fractional coordinates of all 22 atoms:
Cs  0.296  0.782  0.297
F  0.843  0.756  0.496
F  0.952  0.152  0.284
Cs  0.747  0.207  0.495
F  0.353  0.528  0.153
Ge  0.761  0.744  0.383
F  0.316  0.148  0.955
Cs  0.374  0.934  0.646
F  0.047  0.502  0.899
Cs  0.046  0.434  0.146
Cs  0.001  0.642  0.680
F  0.581  0.648  0.455
F  0.393  0.290  0.667
Cs  0.626  0.282  0.797
F  0.905  0.256  0.996
F  0.612  0.652  0.784
F  0.966  0.028  0.653
Ge  0.112  0.244  0.883
F  0.650  0.790  0.167
Cs  0.550  0.707  0.995
F  0.552  0.002  0.399
Cs  0.677  0.142  0.180

Calculated values
For the energy relative to the elements, uncorrected, the calculation gives -2.548 eV/atom. The value obtained for the total magnetic moment is 0.45 μB per cell. The symmetry is Cc, No. 9.

No. 2
A plane-wave DFT calculation with GGA-PBE was carried out for a relaxed CsGeF3 crystal.

a b c (Å): 5.192 5.192 5.192
angles (deg): 90.00 90.00 90.00
Fractional coordinates of all 5 atoms:
F  0.000  0.000  0.500
F  0.500  0.000  0.000
Ge  0.500  0.500  0.500
F  0.000  0.500  0.000
Cs  0.000  0.000  0.000

Calculated values
For the energy relative to the elements, uncorrected, the calculation gives -0.865 eV/atom. The value obtained for the total magnetic moment is 0.48 μB per cell. The symmetry is Pm-3m, No. 221.

No. 3
A plane-wave DFT calculation with GGA-PBE was carried out for a relaxed CsGeF6 crystal.

a b c (Å): 5.754 5.754 6.202
angles (deg): 62.37 62.37 60.00
Fractional coordinates of all 8 atoms:
F  0.918  0.918  0.798
F  0.634  0.082  0.202
F  0.366  0.918  0.798
Ge  0.000  0.000  0.000
Cs  0.500  0.500  0.500
F  0.918  0.366  0.798
F  0.082  0.634  0.202
F  0.082  0.082  0.202

Calculated values
For the energy relative to the elements, uncorrected, the calculation gives -2.265 eV/atom. The value obtained for the total magnetic moment is 1.05 μB per cell. The symmetry is R-3m, No. 166.

No. 4
A plane-wave DFT calculation with GGA-PBE was carried out for a relaxed Cs3GeF7 crystal.

a b c (Å): 5.994 5.994 6.773
angles (deg): 88.78 88.78 91.75
Fractional coordinates of all 11 atoms:
F  0.078  0.776  0.085
Cs  0.556  0.056  0.476
Ge  0.057  0.057  0.976
F  0.776  0.078  0.085
F  0.938  0.938  0.750
F  0.177  0.177  0.202
F  0.338  0.037  0.868
Cs  0.556  0.556  0.962
Cs  0.056  0.556  0.476
F  0.555  0.555  0.501
F  0.037  0.338  0.868

Calculated values
For the energy relative to the elements, uncorrected, the calculation gives -2.737 eV/atom. Its offset from the most stable computed form is 20.1 meV per atom. The value obtained for the total magnetic moment is 0.04 μB per cell. The symmetry is Cm, No. 8.

No. 5
A plane-wave DFT calculation with GGA-PBE was carried out for a relaxed CsGeF4 crystal.

a b c (Å): 4.283 7.989 7.989
angles (deg): 90.00 90.00 90.00
Fractional coordinates of all 12 atoms:
F  0.218  0.704  0.500
F  0.782  0.796  0.000
Ge  0.000  0.500  0.500
F  0.782  0.500  0.296
F  0.218  0.000  0.204
F  0.782  0.500  0.704
F  0.218  0.296  0.500
Cs  0.313  0.500  0.000
F  0.218  0.000  0.796
Ge  0.000  0.000  0.000
F  0.782  0.204  0.000
Cs  0.687  0.000  0.500

Calculated values
For the energy relative to the elements, uncorrected, the calculation gives -2.322 eV/atom. Its offset from the most stable computed form is 118.3 meV per atom. The value obtained for the total magnetic moment is 1.70 μB per cell. The symmetry is P4/nmm, No. 129.

No. 6
A plane-wave DFT calculation with GGA-PBE was carried out for a relaxed CsGeF3 crystal.

a b c (Å): 5.173 6.127 8.204
angles (deg): 86.81 90.00 90.00
Fractional coordinates of all 10 atoms:
Cs  0.313  0.761  0.839
F  0.806  0.485  0.811
Cs  0.813  0.239  0.161
F  0.306  0.515  0.189
F  0.216  0.268  0.698
F  0.716  0.732  0.302
F  0.304  0.957  0.183
F  0.804  0.043  0.817
Ge  0.360  0.728  0.342
Ge  0.860  0.272  0.658

Calculated values
For the energy relative to the elements, uncorrected, the calculation gives -2.498 eV/atom. The value obtained for the total magnetic moment is 0.00 μB per cell. The symmetry is P2_1, No. 4.

No. 7
A plane-wave DFT calculation with GGA-PBE was carried out for a relaxed Cs2GeF7 crystal.

a b c (Å): 6.262 9.178 8.014
angles (deg): 81.13 67.00 70.05
Fractional coordinates of all 20 atoms:
Cs  0.692  0.438  0.239
F  0.711  0.719  0.411
F  0.673  0.250  0.750
F  0.887  0.951  0.312
F  0.850  0.451  0.812
F  0.840  0.781  0.089
F  0.150  0.549  0.188
Ge  0.007  0.750  0.250
Cs  0.308  0.562  0.761
Cs  0.369  0.062  0.261
F  0.049  0.693  0.488
F  0.289  0.281  0.589
Ge  0.993  0.250  0.750
Cs  0.631  0.938  0.739
F  0.951  0.307  0.512
F  0.113  0.049  0.688
F  0.230  0.807  0.012
F  0.770  0.193  0.988
F  0.327  0.750  0.250
F  0.160  0.219  0.911

Calculated values
For the energy relative to the elements, uncorrected, the calculation gives -2.356 eV/atom. The value obtained for the total magnetic moment is 1.82 μB per cell. The symmetry is C2/c, No. 15.

No. 8
A plane-wave DFT calculation with GGA-PBE was carried out for a relaxed CsGe3F crystal.

a b c (Å): 5.897 5.897 5.897
angles (deg): 90.00 90.00 90.00
Fractional coordinates of all 5 atoms:
Ge  0.000  0.000  0.500
F  0.500  0.500  0.500
Cs  0.000  0.000  0.000
Ge  0.000  0.500  0.000
Ge  0.500  0.000  0.000

Calculated values
For the energy relative to the elements, uncorrected, the calculation gives 1.575 eV/atom. Its offset from the most stable computed form is 1403.1 meV per atom. The value obtained for the total magnetic moment is 0.00 μB per cell. The symmetry is Pm-3m, No. 221.

No. 9
A plane-wave DFT calculation with GGA-PBE was carried out for a relaxed CsGeF crystal.

a b c (Å): 4.191 7.668 11.790
angles (deg): 85.98 90.00 90.00
Fractional coordinates of all 12 atoms:
F  0.249  0.638  0.384
Cs  0.750  0.390  0.361
Cs  0.250  0.110  0.639
F  0.749  0.862  0.616
Ge  0.503  0.837  0.974
Cs  0.750  0.890  0.361
Cs  0.250  0.610  0.639
Ge  0.497  0.163  0.026
Ge  0.003  0.663  0.026
F  0.251  0.138  0.384
Ge  0.997  0.337  0.974
F  0.751  0.362  0.616

Calculated values
For the energy relative to the elements, uncorrected, the calculation gives -1.516 eV/atom. The value obtained for the total magnetic moment is 0.00 μB per cell. The symmetry is P2_1/c, No. 14.

No. 10
A plane-wave DFT calculation with GGA-PBE was carried out for a relaxed CsGeF5 crystal.

a b c (Å): 7.050 7.050 7.040
angles (deg): 113.02 107.38 108.13
Fractional coordinates of all 14 atoms:
F  0.212  0.181  0.965
F  0.216  0.747  0.535
F  0.958  0.708  0.750
F  0.213  0.498  0.715
F  0.042  0.292  0.250
Cs  0.523  0.273  0.750
Ge  0.000  0.500  0.500
F  0.784  0.253  0.465
F  0.217  0.002  0.215
Cs  0.477  0.727  0.250
F  0.788  0.819  0.035
Ge  0.000  0.000  0.000
F  0.783  0.998  0.785
F  0.787  0.502  0.285

Calculated values
For the energy relative to the elements, uncorrected, the calculation gives -2.640 eV/atom. The value obtained for the total magnetic moment is 0.00 μB per cell. The symmetry is C2/c, No. 15.

No. 11
A plane-wave DFT calculation with GGA-PBE was carried out for a relaxed CsHgGe2F crystal.

a b c (Å): 4.771 6.578 4.771
angles (deg): 90.00 90.00 90.00
Fractional coordinates of all 5 atoms:
Ge  0.000  0.000  0.500
Ge  0.500  0.000  0.000
F  0.000  0.000  0.000
Cs  0.500  0.500  0.500
Hg  0.000  0.500  0.000

Calculated values
For the energy relative to the elements, uncorrected, the calculation gives -0.114 eV/atom. The value obtained for the total magnetic moment is 0.00 μB per cell. The symmetry is P4/mmm, No. 123.

No. 12
A plane-wave DFT calculation with GGA-PBE was carried out for a relaxed CsHgGeF6 crystal.

a b c (Å): 6.347 6.347 5.523
angles (deg): 90.09 89.91 59.42
Fractional coordinates of all 9 atoms:
F  0.096  0.336  0.307
F  0.574  0.088  0.313
Cs  0.000  0.000  0.000
F  0.340  0.566  0.307
F  0.566  0.341  0.693
Ge  0.333  0.333  0.500
F  0.088  0.574  0.687
F  0.337  0.095  0.693
Hg  0.665  0.665  0.500

Calculated values
For the energy relative to the elements, uncorrected, the calculation gives -2.236 eV/atom. The value obtained for the total magnetic moment is 0.77 μB per cell. The symmetry is C2, No. 5.

No. 13
A plane-wave DFT calculation with GGA-PBE was carried out for a relaxed Cs2GeI6F crystal.

a b c (Å): 7.747 7.747 8.664
angles (deg): 63.44 63.44 90.00
Fractional coordinates of all 10 atoms:
I  0.783  0.783  0.433
I  0.253  0.747  0.000
Ge  0.000  0.000  0.000
I  0.253  0.253  0.000
Cs  0.750  0.250  0.500
I  0.747  0.253  0.000
Cs  0.250  0.750  0.500
I  0.747  0.747  0.000
F  0.500  0.500  0.000
I  0.217  0.217  0.567

Calculated values
For the energy relative to the elements, uncorrected, the calculation gives -0.795 eV/atom. The value obtained for the total magnetic moment is 0.00 μB per cell. The symmetry is I4/mmm, No. 139.

No. 14
A plane-wave DFT calculation with GGA-PBE was carried out for a relaxed CsInGe2F6 crystal.

a b c (Å): 8.149 8.149 7.428
angles (deg): 92.47 92.47 111.47
Fractional coordinates of all 20 atoms:
F  0.934  0.418  0.197
Cs  0.870  0.130  0.750
F  0.428  0.767  0.085
F  0.418  0.934  0.697
F  0.787  0.931  0.093
Cs  0.130  0.870  0.250
F  0.767  0.428  0.585
F  0.582  0.066  0.303
Ge  0.153  0.383  0.238
F  0.069  0.213  0.407
F  0.213  0.069  0.907
In  0.370  0.630  0.750
Ge  0.383  0.153  0.738
Ge  0.617  0.847  0.262
F  0.066  0.582  0.803
In  0.630  0.370  0.250
F  0.931  0.787  0.593
Ge  0.847  0.617  0.762
F  0.572  0.233  0.915
F  0.233  0.572  0.415

Calculated values
For the energy relative to the elements, uncorrected, the calculation gives -2.226 eV/atom. The value obtained for the total magnetic moment is 0.00 μB per cell. The symmetry is C2/c, No. 15.

No. 15
A plane-wave DFT calculation with GGA-PBE was carried out for a relaxed Cs2InGeF crystal.

a b c (Å): 7.355 4.627 7.355
angles (deg): 90.00 90.00 90.00
Fractional coordinates of all 5 atoms:
F  0.000  0.500  0.000
In  0.000  0.000  0.000
Ge  0.500  0.500  0.500
Cs  0.500  0.000  0.000
Cs  0.000  0.000  0.500

Calculated values
For the energy relative to the elements, uncorrected, the calculation gives -0.309 eV/atom. Its offset from the most stable computed form is 165.0 meV per atom. The value obtained for the total magnetic moment is 1.31 μB per cell. The symmetry is P4/mmm, No. 123.

No. 16
A plane-wave DFT calculation with GGA-PBE was carried out for a relaxed Cs2InGeF crystal.

a b c (Å): 7.343 5.149 7.343
angles (deg): 90.00 90.00 90.00
Fractional coordinates of all 5 atoms:
Cs  0.000  0.000  0.500
In  0.000  0.000  0.000
Cs  0.500  0.000  0.000
F  0.500  0.500  0.500
Ge  0.000  0.500  0.000

Calculated values
For the energy relative to the elements, uncorrected, the calculation gives -0.474 eV/atom. Its offset from the most stable computed form is 0.0 meV per atom. The value obtained for the total magnetic moment is 0.00 μB per cell. The symmetry is P4/mmm, No. 123.

No. 17
A plane-wave DFT calculation with GGA-PBE was carried out for a relaxed CsKGeF6 crystal.

a b c (Å): 5.677 6.286 6.286
angles (deg): 120.00 90.00 90.00
Fractional coordinates of all 9 atoms:
F  0.685  0.761  0.758
Ge  0.500  0.000  0.000
K  0.500  0.667  0.333
F  0.315  0.997  0.758
F  0.685  0.997  0.239
Cs  0.000  0.333  0.667
F  0.315  0.761  0.003
F  0.685  0.242  0.003
F  0.315  0.242  0.239

Calculated values
For the energy relative to the elements, uncorrected, the calculation gives -2.747 eV/atom. The value obtained for the total magnetic moment is 0.12 μB per cell. The symmetry is P312, No. 149.

No. 18
A plane-wave DFT calculation with GGA-PBE was carried out for a relaxed Cs2KGeF6 crystal.

a b c (Å): 6.581 6.581 6.581
angles (deg): 60.00 60.00 90.00
Fractional coordinates of all 10 atoms:
F  0.219  0.219  0.563
Cs  0.250  0.750  0.500
F  0.219  0.781  0.000
Ge  0.000  0.000  0.000
F  0.781  0.781  0.000
K  0.500  0.500  0.000
F  0.219  0.219  0.000
F  0.781  0.781  0.437
Cs  0.750  0.250  0.500
F  0.781  0.219  0.000

Calculated values
For the energy relative to the elements, uncorrected, the calculation gives -2.586 eV/atom. The value obtained for the total magnetic moment is 1.00 μB per cell. The symmetry is Fm-3m, No. 225.

No. 19
A plane-wave DFT calculation with GGA-PBE was carried out for a relaxed CsGeN2F crystal.

a b c (Å): 3.830 3.830 5.674
angles (deg): 90.00 90.00 90.00
Fractional coordinates of all 5 atoms:
Ge  0.000  0.000  0.000
Cs  0.500  0.500  0.500
N  0.000  0.500  0.000
N  0.500  0.000  0.000
F  0.000  0.000  0.500

Calculated values
For the energy relative to the elements, uncorrected, the calculation gives 0.093 eV/atom. Its offset from the most stable computed form is 0.0 meV per atom. The value obtained for the total magnetic moment is 0.33 μB per cell. The symmetry is P4/mmm, No. 123.

No. 20
A plane-wave DFT calculation with GGA-PBE was carried out for a relaxed CsGeNF2 crystal.

a b c (Å): 5.078 5.078 4.492
angles (deg): 90.00 90.00 90.00
Fractional coordinates of all 5 atoms:
Ge  0.500  0.500  0.500
F  0.500  0.000  0.000
N  0.000  0.000  0.500
Cs  0.000  0.000  0.000
F  0.000  0.500  0.000

Calculated values
For the energy relative to the elements, uncorrected, the calculation gives 0.440 eV/atom. Its offset from the most stable computed form is 1620.7 meV per atom. The value obtained for the total magnetic moment is 0.32 μB per cell. The symmetry is P4/mmm, No. 123.